# 1
# ZrSiSn (PBE, relaxed)
# - Total DFT energy (no corrections): -38.34 eV for the cell shown
data_ZrSiSn
_chemical_formula_sum 'Zr2 Si2 Sn2'
_cell_length_a 3.6679
_cell_length_b 3.6679
_cell_length_c 9.2430
_cell_angle_alpha 90.00
_cell_angle_beta 90.00
_cell_angle_gamma 90.00
_symmetry_space_group_name_H-M 'P 4/n m m'
_symmetry_Int_Tables_number 129
loop_
_symmetry_equiv_pos_as_xyz
'x,y,z'
'-x,-y,-z'
'-y+1/2,x,z'
'y+1/2,-x,-z'
'-x+1/2,-y+1/2,z'
'x+1/2,y+1/2,-z'
'y,-x+1/2,z'
'-y,x+1/2,-z'
'x+1/2,-y,-z'
'-x+1/2,y,z'
'-y,-x,-z'
'y,x,z'
'-x,y+1/2,-z'
'x,-y+1/2,z'
'y+1/2,x+1/2,-z'
'-y+1/2,-x+1/2,z'
loop_
_atom_site_label
_atom_site_type_symbol
_atom_site_fract_x
_atom_site_fract_y
_atom_site_fract_z
Zr1 Zr 0.2500 0.2500 0.2286
Si1 Si 0.2500 0.7500 0.0000
Sn1 Sn 0.2500 0.2500 0.5930

---

# 2
# Pr7Tm2Mg2 (PBE, relaxed)
# - Formation energy: 0.057 eV per atom
# - Total DFT energy (no corrections): -89.92 eV for the cell shown
data_Pr7Tm2Mg2
_chemical_formula_sum 'Pr14 Tm4 Mg4'
_cell_length_a 9.1705
_cell_length_b 9.7099
_cell_length_c 8.4848
_cell_angle_alpha 90.00
_cell_angle_beta 104.40
_cell_angle_gamma 90.00
_symmetry_space_group_name_H-M 'C 1 2/m 1'
_symmetry_Int_Tables_number 12
loop_
_symmetry_equiv_pos_as_xyz
'x,y,z'
'-x,-y,-z'
'-x,y,-z'
'x,-y,z'
'x+1/2,y+1/2,z'
'-x+1/2,-y+1/2,-z'
'-x+1/2,y+1/2,-z'
'x+1/2,-y+1/2,z'
loop_
_atom_site_label
_atom_site_type_symbol
_atom_site_fract_x
_atom_site_fract_y
_atom_site_fract_z
Pr1 Pr 0.0000 0.0000 0.0000
Pr2 Pr 0.1532 0.0000 0.4234
Pr3 Pr 0.2099 0.3174 0.1831
Tm1 Tm 0.0000 0.3236 0.5000
Mg1 Mg 0.1111 0.5000 0.8360

---

# 3
# K2RbTl2 (PBE, relaxed)
# - Formation energy: -0.051 eV per atom
# - Total DFT energy (no corrections): -32.59 eV for the cell shown
data_K2RbTl2
_chemical_formula_sum 'K8 Rb4 Tl8'
_cell_length_a 20.5935
_cell_length_b 8.4463
_cell_length_c 5.7883
_cell_angle_alpha 90.00
_cell_angle_beta 106.16
_cell_angle_gamma 90.00
_symmetry_space_group_name_H-M 'C 1 2/c 1'
_symmetry_Int_Tables_number 15
loop_
_symmetry_equiv_pos_as_xyz
'x,y,z'
'-x,-y,-z'
'-x,y,-z+1/2'
'x,-y,z+1/2'
'x+1/2,y+1/2,z'
'-x+1/2,-y+1/2,-z'
'-x+1/2,y+1/2,-z+1/2'
'x+1/2,-y+1/2,z+1/2'
loop_
_atom_site_label
_atom_site_type_symbol
_atom_site_fract_x
_atom_site_fract_y
_atom_site_fract_z
K1 K 0.1544 0.1700 0.4039
Rb1 Rb 0.0000 0.3003 0.7500
Tl1 Tl 0.1993 0.4016 0.9480

---

# 4
# CsMgTlCd2 (PBE, relaxed)
# - Formation energy: 0.081 eV per atom
# - Total DFT energy (no corrections): -6.24 eV for the cell shown
data_CsMgTlCd2
_chemical_formula_sum 'Cs1 Mg1 Tl1 Cd2'
_cell_length_a 5.7829
_cell_length_b 5.7829
_cell_length_c 5.6806
_cell_angle_alpha 90.00
_cell_angle_beta 90.00
_cell_angle_gamma 90.00
_symmetry_space_group_name_H-M 'P 4/m m m'
_symmetry_Int_Tables_number 123
_symmetry_space_group_name_Hall '-P 4 2'
loop_
_atom_site_label
_atom_site_type_symbol
_atom_site_fract_x
_atom_site_fract_y
_atom_site_fract_z
Cs1 Cs 0.0000 0.0000 0.0000
Mg1 Mg 0.5000 0.5000 0.5000
Tl1 Tl 0.5000 0.5000 0.0000
Cd1 Cd 0.0000 0.5000 0.5000

---

# 5
# TaAgPb2 (PBE, relaxed)
# - Formation energy: 0.421 eV per atom
# - Total DFT energy (no corrections): -20.44 eV for the cell shown
data_TaAgPb2
_chemical_formula_sum 'Ta1 Ag1 Pb2'
_cell_length_a 3.1975
_cell_length_b 5.0559
_cell_length_c 5.8732
_cell_angle_alpha 90.00
_cell_angle_beta 105.55
_cell_angle_gamma 90.00
_symmetry_space_group_name_H-M 'P 1 m 1'
_symmetry_Int_Tables_number 6
loop_
_symmetry_equiv_pos_as_xyz
'x,y,z'
'x,-y,z'
loop_
_atom_site_label
_atom_site_type_symbol
_atom_site_fract_x
_atom_site_fract_y
_atom_site_fract_z
Ta1 Ta 0.0000 0.0000 0.0000
Ag1 Ag 0.1527 0.5000 0.3060
Pb1 Pb 0.4268 0.5000 0.8526
Pb2 Pb 0.7300 0.0000 0.4616

---

# 6
# Tb4PbI5 (PBE, relaxed)
# - Total DFT energy (no corrections): -80.16 eV for the cell shown
data_Tb4PbI5
_chemical_formula_sum 'Tb8 Pb2 I10'
_cell_length_a 19.0961
_cell_length_b 4.3176
_cell_length_c 9.0173
_cell_angle_alpha 90.00
_cell_angle_beta 101.38
_cell_angle_gamma 90.00
_symmetry_space_group_name_H-M 'C 1 2/m 1'
_symmetry_Int_Tables_number 12
loop_
_symmetry_equiv_pos_as_xyz
'x,y,z'
'-x,-y,-z'
'-x,y,-z'
'x,-y,z'
'x+1/2,y+1/2,z'
'-x+1/2,-y+1/2,-z'
'-x+1/2,y+1/2,-z'
'x+1/2,-y+1/2,z'
loop_
_atom_site_label
_atom_site_type_symbol
_atom_site_fract_x
_atom_site_fract_y
_atom_site_fract_z
Tb1 Tb 0.0010 0.0000 0.2292
Tb2 Tb 0.1588 0.5000 0.0700
Pb1 Pb 0.0000 0.5000 0.0000
I1 I 0.0000 0.5000 0.5000
I2 I 0.1675 0.0000 0.3259
I3 I 0.1707 0.0000 0.8198

---

# 7
# KCuHg2 (PBE, relaxed)
# - Formation energy: 0.030 eV per atom
# - Total DFT energy (no corrections): -5.68 eV for the cell shown
data_KCuHg2
_chemical_formula_sum 'K1 Cu1 Hg2'
_cell_length_a 3.5005
_cell_length_b 3.5005
_cell_length_c 8.1737
_cell_angle_alpha 90.00
_cell_angle_beta 90.00
_cell_angle_gamma 90.00
_symmetry_space_group_name_H-M 'P 4/m m m'
_symmetry_Int_Tables_number 123
_symmetry_space_group_name_Hall '-P 4 2'
loop_
_atom_site_label
_atom_site_type_symbol
_atom_site_fract_x
_atom_site_fract_y
_atom_site_fract_z
K1 K 0.0000 0.0000 0.0000
Cu1 Cu 0.0000 0.0000 0.5000
Hg1 Hg 0.5000 0.5000 0.3130

---

# 8
# KYSi2Br (PBE, relaxed)
# - Total DFT energy (no corrections): -19.84 eV for the cell shown
data_KYSi2Br
_chemical_formula_sum 'K1 Y1 Si2 Br1'
_cell_length_a 5.5711
_cell_length_b 5.5711
_cell_length_c 5.7567
_cell_angle_alpha 90.00
_cell_angle_beta 90.00
_cell_angle_gamma 90.00
_symmetry_space_group_name_H-M 'P 4/m m m'
_symmetry_Int_Tables_number 123
_symmetry_space_group_name_Hall '-P 4 2'
loop_
_atom_site_label
_atom_site_type_symbol
_atom_site_fract_x
_atom_site_fract_y
_atom_site_fract_z
K1 K 0.0000 0.0000 0.0000
Y1 Y 0.5000 0.5000 0.5000
Si1 Si 0.0000 0.5000 0.5000
Br1 Br 0.5000 0.5000 0.0000